# Mn2As2Pd

An optimized crystal structure of Mn2As2Pd (GGA-PBE, the Alexandria database).

```
Mn2As2Pd
1.0
6.933 0.000 0.000
0.000 6.933 0.000
0.000 0.000 3.098
As Mn Pd
4 4 2
Direct
0.343 0.843 0.000
0.843 0.657 0.000
0.657 0.157 0.000
0.157 0.343 0.000
0.136 0.636 0.500
0.636 0.864 0.500
0.864 0.364 0.500
0.364 0.136 0.500
0.000 0.000 0.000
0.500 0.500 0.000
```

Values from the calculation:
Its density is 8.16 g cm⁻³. For the raw total energy, the calculation gives -6.6851 eV/atom. The excess energy over the best structure of this formula in the dataset is 0.000 kcal/mol of atoms. For the energy of formation from the pure elements, the calculation gives -11 kJ per mole of atoms.



# PmPuS3

An optimized crystal structure of PmPuS3 (GGA-PBE, the Alexandria database).

```
PmPuS3
1.0
5.467 0.000 0.000
0.000 8.400 0.000
-2.733 -4.200 5.225
Pm Pu S
2 2 6
Direct
0.000 0.500 0.000
0.500 0.000 0.000
0.250 0.197 0.500
0.750 0.803 0.500
0.054 0.212 0.107
0.446 0.605 0.893
0.554 0.395 0.107
0.946 0.788 0.893
0.250 0.856 0.500
0.750 0.144 0.500
```

Values from the calculation:
Its formation energy from raw total energies is -1.60 eV/atom. Its density is 6.72 g cm⁻³. For the raw total energy, the calculation gives -7.8938 eV/atom. The excess energy over the best structure of this formula in the dataset is 6.283 kcal/mol of atoms.



Copy entry 1 word for word.
# Mn2As2Pd

An optimized crystal structure of Mn2As2Pd (GGA-PBE, the Alexandria database).

```
Mn2As2Pd
1.0
6.933 0.000 0.000
0.000 6.933 0.000
0.000 0.000 3.098
As Mn Pd
4 4 2
Direct
0.343 0.843 0.000
0.843 0.657 0.000
0.657 0.157 0.000
0.157 0.343 0.000
0.136 0.636 0.500
0.636 0.864 0.500
0.864 0.364 0.500
0.364 0.136 0.500
0.000 0.000 0.000
0.500 0.500 0.000
```

Values from the calculation:
Its density is 8.16 g cm⁻³. For the raw total energy, the calculation gives -6.6851 eV/atom. The excess energy over the best structure of this formula in the dataset is 0.000 kcal/mol of atoms. For the energy of formation from the pure elements, the calculation gives -11 kJ per mole of atoms.